1.
The following is a PBE calculation of a relaxed structure of CeYCo17, from Alexandria via LeMat-Bulk.

Summary:
For the final energy, the calculation gives -134.98 eV per cell.

Lattice parameters (Å, degrees): 6.2658 6.2658 6.2658 83.03 83.03 83.03
Atoms (fractional coordinates):
Ce  0.0000  0.0000  0.0000
Y  0.6896  0.6896  0.6896
Co  0.0015  0.0015  0.4902
Co  0.0015  0.4902  0.0015
Co  0.0606  0.3464  0.6361
Co  0.0606  0.6361  0.3464
Co  0.1936  0.6940  0.6940
Co  0.2497  0.2497  0.2497
Co  0.3464  0.0606  0.6361
Co  0.3464  0.6361  0.0606
Co  0.3514  0.3514  0.8457
Co  0.3514  0.8457  0.3514
Co  0.4437  0.4437  0.4437
Co  0.4902  0.0015  0.0015
Co  0.6361  0.0606  0.3464
Co  0.6361  0.3464  0.0606
Co  0.6940  0.1936  0.6940
Co  0.6940  0.6940  0.1936
Co  0.8457  0.3514  0.3514


2.
The following is a PBE calculation of a relaxed structure of ZrFe3Os, from Alexandria via LeMat-Bulk.

Summary:
Its energy above the most stable polymorph in this dataset is 1.1910 eV per atom.

Lattice parameters (Å, degrees): 4.3676 4.3676 4.3676 90.00 90.00 90.00
Atoms (fractional coordinates):
Zr  0.0000  0.0000  0.0000
Fe  0.0000  0.0000  0.5000
Fe  0.0000  0.5000  0.0000
Fe  0.5000  0.0000  0.0000
Os  0.5000  0.5000  0.5000


3.
The following is a PBE calculation of a relaxed structure of Nd2CoP3Ir4, from Alexandria via LeMat-Bulk.

Summary:
For the final energy, the calculation gives -76.83 eV per cell.

Lattice parameters (Å, degrees): 4.1239 4.1239 9.8464 90.00 90.00 90.00
Atoms (fractional coordinates):
Nd  0.0000  0.5000  0.2441
Nd  0.5000  0.0000  0.7559
Co  0.5000  0.5000  0.0000
P  0.0000  0.0000  0.0000
P  0.0000  0.5000  0.6386
P  0.5000  0.0000  0.3614
Ir  0.0000  0.0000  0.5000
Ir  0.0000  0.5000  0.8751
Ir  0.5000  0.0000  0.1249
Ir  0.5000  0.5000  0.5000


Repeat the first record exactly.
The following is a PBE calculation of a relaxed structure of CeYCo17, from Alexandria via LeMat-Bulk.

Summary:
For the final energy, the calculation gives -134.98 eV per cell.

Lattice parameters (Å, degrees): 6.2658 6.2658 6.2658 83.03 83.03 83.03
Atoms (fractional coordinates):
Ce  0.0000  0.0000  0.0000
Y  0.6896  0.6896  0.6896
Co  0.0015  0.0015  0.4902
Co  0.0015  0.4902  0.0015
Co  0.0606  0.3464  0.6361
Co  0.0606  0.6361  0.3464
Co  0.1936  0.6940  0.6940
Co  0.2497  0.2497  0.2497
Co  0.3464  0.0606  0.6361
Co  0.3464  0.6361  0.0606
Co  0.3514  0.3514  0.8457
Co  0.3514  0.8457  0.3514
Co  0.4437  0.4437  0.4437
Co  0.4902  0.0015  0.0015
Co  0.6361  0.0606  0.3464
Co  0.6361  0.3464  0.0606
Co  0.6940  0.1936  0.6940
Co  0.6940  0.6940  0.1936
Co  0.8457  0.3514  0.3514